# 1
{
  "formula": "TaGeTePt",
  "functional": "PBE",
  "state": "optimized geometry",
  "lattice_angstrom": [[4.202, 0.000, 0.000], [-2.101, 3.639, 0.000], [0.000, 0.000, 6.167]],
  "species": ["Pt", "Ta", "Ge", "Te"],
  "frac_coords": [[0.000, 0.000, 0.114], [0.667, 0.333, 0.951], [0.333, 0.667, 0.230], [0.333, 0.667, 0.672]],
  "polymorph_energy_mev_per_atom": 19,
  "space_group": "P3m1 (156)",
  "formation_energy_uncorrected_ev_per_fu": -0.861,
  "total_energy_ev_per_atom": -6.63
}

# 2
{
  "formula": "Sm8Er2Cd",
  "functional": "PBE",
  "state": "optimized geometry",
  "lattice_angstrom": [[-0.647, -4.475, -3.035], [-2.797, -4.135, 6.693], [-5.769, 6.297, -3.170]],
  "species": ["Er", "Sm", "Cd", "Er", "Sm", "Sm", "Sm", "Sm", "Sm", "Sm", "Sm"],
  "frac_coords": [[0.201, 0.649, 0.402], [0.162, 0.204, 0.323], [0.500, 0.000, 0.000], [0.799, 0.351, 0.598], [0.331, 0.094, 0.661], [0.838, 0.796, 0.677], [0.669, 0.906, 0.339], [0.020, 0.728, 0.040], [0.606, 0.434, 0.212], [0.980, 0.272, 0.960], [0.394, 0.566, 0.788]],
  "polymorph_energy_mev_per_atom": 55,
  "space_group": "C2/m (12)",
  "total_energy_ev_per_atom": -4.30,
  "e_form_ev_per_atom": 0.043
}

# 3
{
  "formula": "Dy5Al2In",
  "functional": "PBE",
  "state": "optimized geometry",
  "lattice_angstrom": [[-2.746, -6.746, -2.889], [-1.454, -2.523, 7.275], [-4.504, 7.468, -2.530]],
  "species": ["Dy", "In", "Dy", "Al", "Dy", "Dy", "Al", "Dy", "Dy", "Al", "Dy", "Dy", "Dy", "In", "Al", "Dy"],
  "frac_coords": [[0.000, 0.000, 0.000], [0.750, 0.750, 0.500], [0.686, 0.186, 0.707], [0.378, 0.878, 0.000], [0.314, 0.814, 0.293], [0.521, 0.686, 0.707], [0.122, 0.378, 0.000], [0.021, 0.521, 0.707], [0.186, 0.021, 0.707], [0.622, 0.122, 0.000], [0.500, 0.500, 0.000], [0.814, 0.979, 0.293], [0.979, 0.479, 0.293], [0.250, 0.250, 0.500], [0.878, 0.622, 0.000], [0.479, 0.314, 0.293]],
  "space_group": "I4/mcm (140)",
  "total_energy_ev_per_atom": -4.49,
  "e_form_ev_per_atom": -0.336
}

# 4
{
  "formula": "SrDyAg2",
  "functional": "PBE",
  "state": "optimized geometry",
  "lattice_angstrom": [[3.761, 0.000, 0.000], [0.000, 3.761, 0.000], [0.000, 0.000, 7.652]],
  "species": ["Sr", "Ag", "Dy", "Ag"],
  "frac_coords": [[0.500, 0.500, 0.500], [0.000, 0.000, 0.791], [0.500, 0.500, 0.000], [0.000, 0.000, 0.209]],
  "polymorph_energy_mev_per_atom": 0,
  "space_group": "P4/mmm (123)",
  "total_energy_ev_per_atom": -3.28,
  "e_form_ev_per_atom": -0.288
}

# 5
{
  "formula": "Si2AgAs",
  "functional": "PBE",
  "state": "optimized geometry",
  "lattice_angstrom": [[-8.836, 1.163, -1.123], [-8.434, -1.277, -2.813], [-8.846, -1.553, 0.140]],
  "species": ["Ag", "Si", "As", "Si"],
  "frac_coords": [[0.506, 0.506, 0.506], [0.255, 0.255, 0.255], [0.747, 0.747, 0.747], [0.993, 0.993, 0.993]],
  "space_group": "R3m (160)",
  "formation_energy_uncorrected_ev_per_fu": 1.811,
  "total_energy_ev_per_atom": -4.13
}

# 6
{
  "formula": "Na2TmInO4",
  "functional": "PBE",
  "state": "optimized geometry",
  "lattice_angstrom": [[3.327, 0.000, 0.000], [0.000, 5.723, 0.082], [0.000, -2.017, 5.554]],
  "species": ["O", "Tm", "O", "O", "In", "O", "Na", "Na"],
  "frac_coords": [[0.000, 0.735, 0.213], [0.500, 0.500, 0.000], [0.500, 0.765, 0.787], [0.500, 0.235, 0.213], [0.000, 0.000, 0.000], [0.000, 0.265, 0.787], [0.500, 0.000, 0.500], [0.000, 0.500, 0.500]],
  "space_group": "P2/m (10)",
  "formation_energy_uncorrected_ev_per_fu": -17.878,
  "total_energy_ev_per_atom": -5.94
}

- What is the formula in the second record?
  Sm8Er2Cd